1.
Computed, not measured: an optimized crystal structure of NaUPb2 at the PBE level of DFT.

a = 3.1872 Å, b = 5.8891 Å, c = 5.8891 Å
α = 90.00°, β = 90.00°, γ = 90.00°
Site moments in Bohr magnetons follow the coordinates.
Positions (direct):
Pb  0.0000  0.0000  0.5000  -0.04
U  0.5000  0.0000  0.0000  2.60
Na  0.5000  0.5000  0.5000  0.00
Pb  0.0000  0.5000  0.0000  -0.04

Values from the calculation:
DOS at the Fermi energy = 5.992 states/eV/cell
Energy of formation from the pure elements = 0.09 eV/atom


2.
Computed, not measured: an optimized crystal structure of RbLiPm2S4 at the PBE level of DFT.

a = 4.1546 Å, b = 7.2784 Å, c = 14.2775 Å
α = 90.00°, β = 90.00°, γ = 106.58°
Positions (direct):
S  0.7406  0.4811  0.6073
S  0.4190  0.8379  0.7500
S  0.5810  0.1621  0.2500
S  0.2594  0.5189  0.3927
Pm  0.6340  0.2679  0.4399
S  0.0000  0.0000  0.0000
Li  0.1681  0.3362  0.2500
Pm  0.6340  0.2679  0.0601
Rb  0.1056  0.2113  0.7500
Pm  0.3660  0.7321  0.9399
Rb  0.8944  0.7887  0.2500
Li  0.8319  0.6638  0.7500
S  0.2594  0.5189  0.1073
S  0.7406  0.4811  0.8927
Pm  0.3660  0.7321  0.5601
S  0.0000  0.0000  0.5000

Values from the calculation:
Raw formation energy = -1830.7 meV per atom
DOS at the Fermi energy = 0.000 states/eV/cell


3.
Computed, not measured: an optimized crystal structure of K2Be2H at the PBE level of DFT.

a = 8.0181 Å, b = 8.0181 Å, c = 4.4409 Å
α = 90.00°, β = 90.00°, γ = 90.00°
Positions (direct):
Be  0.4051  0.9051  0.0000
Be  0.0949  0.4051  0.0000
K  0.6984  0.8016  0.5000
Be  0.9051  0.5949  0.0000
Be  0.5949  0.0949  0.0000
H  0.0000  0.0000  0.0000
K  0.3016  0.1984  0.5000
K  0.8016  0.3016  0.5000
H  0.5000  0.5000  0.0000
K  0.1984  0.6984  0.5000

Values from the calculation:
DOS at the Fermi energy = 7.136 states/eV/cell
ΔE to the lowest computed polymorph = 4.29 kcal/mol of atoms


4.
Computed, not measured: an optimized crystal structure of Pr3Np2N6 at the PBE level of DFT.

a = 4.2880 Å, b = 4.2880 Å, c = 10.4755 Å
α = 101.81°, β = 101.81°, γ = 90.00°
Site moments in Bohr magnetons follow the coordinates.
Positions (direct):
Np  0.5934  0.5934  0.1868  2.22
N  0.2995  0.2995  0.5991  -0.05
N  0.4140  0.9140  0.8280  -0.10
Np  0.4066  0.4066  0.8132  2.22
N  0.7005  0.7005  0.4009  -0.05
Pr  0.8159  0.8159  0.6319  0.03
Pr  0.1841  0.1841  0.3681  0.03
Pr  0.0000  0.0000  0.0000  0.20
N  0.9140  0.4140  0.8280  -0.10
N  0.5860  0.0860  0.1720  -0.10
N  0.0860  0.5860  0.1720  -0.10

Values from the calculation:
Raw formation energy = -1085.6 meV per atom
DOS at the Fermi energy = 8.355 states/eV/cell


5.
Computed, not measured: an optimized crystal structure of Er10Bi3Pb3 at the PBE level of DFT.

a = 6.4391 Å, b = 9.0467 Å, c = 9.0467 Å
α = 120.00°, β = 90.00°, γ = 90.00°
Positions (direct):
Er  0.0000  0.0000  0.2383
Pb  0.5000  0.3921  0.0000
Er  0.2515  0.3333  0.6667
Er  0.5000  0.2383  0.2383
Er  0.7485  0.3333  0.6667
Er  0.5000  0.7617  0.0000
Er  0.7485  0.6667  0.3333
Er  0.5000  0.0000  0.7617
Pb  0.5000  0.0000  0.3921
Er  0.0000  0.2383  0.0000
Bi  0.0000  0.6078  0.0000
Bi  0.0000  0.3922  0.3922
Er  0.0000  0.7617  0.7617
Pb  0.5000  0.6079  0.6079
Er  0.2515  0.6667  0.3333
Bi  0.0000  0.0000  0.6078

Values from the calculation:
DOS at the Fermi energy = 10.378 states/eV/cell
Energy of formation from the pure elements = -0.58 eV/atom


6.
Computed, not measured: an optimized crystal structure of Mn3VRe at the PBE level of DFT.

a = 4.1591 Å, b = 4.1591 Å, c = 4.1591 Å
α = 90.00°, β = 90.00°, γ = 90.00°
Site moments in Bohr magnetons follow the coordinates.
Positions (direct):
Re  0.5000  0.5000  0.5000  -0.99
Mn  0.0000  0.5000  0.0000  1.78
Mn  0.5000  0.0000  0.0000  1.78
V  0.0000  0.0000  0.0000  -0.73
Mn  0.0000  0.0000  0.5000  1.78

Values from the calculation:
DOS at the Fermi energy = 8.023 states/eV/cell
Energy of formation from the pure elements = 1.34 eV/atom
ΔE to the lowest computed polymorph = 0.00 kcal/mol of atoms


7.
Computed, not measured: an optimized crystal structure of Ta2VCuN at the PBE level of DFT.

a = 4.2633 Å, b = 4.2633 Å, c = 3.8008 Å
α = 90.00°, β = 90.00°, γ = 90.00°
Positions (direct):
Ta  0.5000  0.0000  0.0000
Ta  0.0000  0.5000  0.0000
Cu  0.5000  0.5000  0.5000
N  0.0000  0.0000  0.0000
V  0.0000  0.0000  0.5000

Values from the calculation:
Raw formation energy = -382.8 meV per atom
DOS at the Fermi energy = 4.592 states/eV/cell


8.
Computed, not measured: an optimized crystal structure of LiPrSiAu at the PBE level of DFT.

a = 4.9509 Å, b = 4.9509 Å, c = 4.9509 Å
α = 60.00°, β = 60.00°, γ = 60.00°
Positions (direct):
Li  0.7500  0.7500  0.7500
Pr  0.2500  0.2500  0.2500
Si  0.0000  0.0000  0.0000
Au  0.5000  0.5000  0.5000

Values from the calculation:
Raw formation energy = -466.4 meV per atom
DOS at the Fermi energy = 2.184 states/eV/cell


9.
Computed, not measured: an optimized crystal structure of Hg2Pd4Au3 at the PBE level of DFT.

a = 4.1389 Å, b = 4.9364 Å, c = 8.7857 Å
α = 75.64°, β = 89.80°, γ = 65.21°
Positions (direct):
Hg  0.6708  0.6578  0.2182
Au  0.3378  0.3239  0.4443
Au  0.6622  0.6761  0.5557
Pd  0.0059  0.9884  0.3349
Pd  0.9941  0.0116  0.6651
Pd  0.3363  0.3272  0.1126
Au  0.0000  0.0000  0.0000
Pd  0.6637  0.6728  0.8874
Hg  0.3292  0.3422  0.7818

Values from the calculation:
DOS at the Fermi energy = 3.055 states/eV/cell
Energy of formation from the pure elements = -0.12 eV/atom
ΔE to the lowest computed polymorph = 0.00 kcal/mol of atoms


10.
Computed, not measured: an optimized crystal structure of Sc3CdC at the PBE level of DFT.

a = 6.4414 Å, b = 6.5301 Å, c = 6.3230 Å
α = 121.09°, β = 71.26°, γ = 120.46°
Positions (direct):
Cd  0.9106  0.2212  0.5661
Sc  0.4399  0.7349  0.5990
Sc  0.2784  0.1833  0.1224
Sc  0.9206  0.7210  0.5556
C  0.6043  0.4383  0.3065
C  0.6237  0.7162  0.8429
Sc  0.7841  0.6539  0.0621
Cd  0.2756  0.6744  0.1075
Sc  0.7841  0.1580  0.0621
Sc  0.4399  0.2698  0.5990

Values from the calculation:
DOS at the Fermi energy = 9.298 states/eV/cell
Energy of formation from the pure elements = -0.33 eV/atom
ΔE to the lowest computed polymorph = 3.15 kcal/mol of atoms


11.
Computed, not measured: an optimized crystal structure of Ti2Cu2Cl at the PBE level of DFT.

a = 3.5565 Å, b = 3.5565 Å, c = 7.5678 Å
α = 76.41°, β = 76.41°, γ = 90.00°
Positions (direct):
Cu  0.3938  0.3938  0.2123
Cl  0.0000  0.0000  0.0000
Ti  0.7500  0.2500  0.5000
Cu  0.6062  0.6062  0.7877
Ti  0.2500  0.7500  0.5000

Values from the calculation:
Raw formation energy = 363.6 meV per atom
DOS at the Fermi energy = 2.203 states/eV/cell
ΔE to the lowest computed polymorph = 4.27 kcal/mol of atoms


12.
Computed, not measured: an optimized crystal structure of EuTlPd at the PBE level of DFT.

a = 3.6577 Å, b = 3.6577 Å, c = 6.0566 Å
α = 107.58°, β = 107.58°, γ = 90.00°
Site moments in Bohr magnetons follow the coordinates.
Positions (direct):
Tl  0.6407  0.6407  0.2813  0.00
Pd  0.2696  0.2696  0.5391  0.02
Eu  0.9398  0.9398  0.8796  -6.85

Values from the calculation:
DOS at the Fermi energy = 9.278 states/eV/cell
Energy of formation from the pure elements = -0.44 eV/atom


13.
Computed, not measured: an optimized crystal structure of Ag6Se2I at the PBE level of DFT.

a = 4.3491 Å, b = 7.1093 Å, c = 9.0706 Å
α = 64.01°, β = 76.13°, γ = 72.19°
Positions (direct):
I  0.0000  0.5000  0.5000
Ag  0.3682  0.5453  0.7183
Ag  0.9415  0.2355  0.8814
Ag  0.7141  0.6552  0.9166
Ag  0.6318  0.4547  0.2817
Se  0.8413  0.1077  0.2097
Ag  0.0585  0.7645  0.1186
Se  0.1587  0.8923  0.7903
Ag  0.2859  0.3448  0.0834

Values from the calculation:
Raw formation energy = 37.2 meV per atom
DOS at the Fermi energy = 2.517 states/eV/cell


14.
Computed, not measured: an optimized crystal structure of Tb2Nd4YSc at the PBE level of DFT.

a = 5.1206 Å, b = 5.1055 Å, c = 11.1880 Å
α = 62.84°, β = 90.00°, γ = 90.00°
Positions (direct):
Tb  0.5000  0.0000  0.5000
Nd  0.5000  0.2556  0.7444
Nd  0.0000  0.7562  0.7441
Y  0.5000  0.5000  0.0000
Tb  0.0000  0.0000  0.0000
Nd  0.0000  0.2438  0.2559
Sc  0.0000  0.5000  0.5000
Nd  0.5000  0.7444  0.2556

Values from the calculation:
DOS at the Fermi energy = 10.719 states/eV/cell
Energy of formation from the pure elements = 0.03 eV/atom


15.
Computed, not measured: an optimized crystal structure of Zr2SbSe at the PBE level of DFT.

a = 6.2506 Å, b = 6.2506 Å, c = 7.7336 Å
α = 66.16°, β = 66.16°, γ = 90.00°
Positions (direct):
Zr  0.1527  0.6250  0.2500
Zr  0.8750  0.8473  0.7500
Se  0.5000  0.5000  0.0000
Se  0.2500  0.7500  0.5000
Zr  0.3750  0.4027  0.7500
Sb  0.7500  0.2500  0.5000
Zr  0.5973  0.1250  0.2500
Sb  0.0000  0.0000  0.0000

Values from the calculation:
Raw formation energy = -263.3 meV per atom
DOS at the Fermi energy = 9.334 states/eV/cell
ΔE to the lowest computed polymorph = 15.31 kcal/mol of atoms


16.
Computed, not measured: an optimized crystal structure of LaCdSnW2 at the PBE level of DFT.

a = 5.0472 Å, b = 5.5506 Å, c = 5.0472 Å
α = 90.00°, β = 90.00°, γ = 90.00°
Site moments in Bohr magnetons follow the coordinates.
Positions (direct):
Sn  0.5000  0.5000  0.5000  -0.04
W  0.0000  0.0000  0.5000  0.81
La  0.0000  0.5000  0.0000  -0.02
W  0.5000  0.0000  0.0000  0.67
Cd  0.0000  0.0000  0.0000  0.02

Values from the calculation:
DOS at the Fermi energy = 8.715 states/eV/cell
Energy of formation from the pure elements = 1.92 eV/atom


17.
Computed, not measured: an optimized crystal structure of Al2NiBr at the PBE level of DFT.

a = 4.6861 Å, b = 4.6861 Å, c = 4.6861 Å
α = 60.00°, β = 60.00°, γ = 60.00°
Site moments in Bohr magnetons follow the coordinates.
Positions (direct):
Al  0.2500  0.2500  0.2500  0.04
Al  0.7500  0.7500  0.7500  0.04
Ni  0.0000  0.0000  0.0000  0.43
Br  0.5000  0.5000  0.5000  0.10

Values from the calculation:
Raw formation energy = 530.4 meV per atom
DOS at the Fermi energy = 4.161 states/eV/cell
ΔE to the lowest computed polymorph = 18.52 kcal/mol of atoms


18.
Computed, not measured: an optimized crystal structure of La2EuTl at the PBE level of DFT.

a = 4.2486 Å, b = 4.2486 Å, c = 7.6005 Å
α = 90.00°, β = 90.00°, γ = 90.00°
Site moments in Bohr magnetons follow the coordinates.
Positions (direct):
Eu  0.5000  0.5000  0.5000  6.93
Tl  0.5000  0.5000  0.0000  -0.01
La  0.0000  0.0000  0.7805  0.08
La  0.0000  0.0000  0.2195  0.08

Values from the calculation:
DOS at the Fermi energy = 5.144 states/eV/cell
Energy of formation from the pure elements = -0.16 eV/atom
ΔE to the lowest computed polymorph = 1.03 kcal/mol of atoms


19.
Computed, not measured: an optimized crystal structure of NiHg4Ru at the PBE level of DFT.

a = 5.6025 Å, b = 5.6025 Å, c = 5.6025 Å
α = 60.00°, β = 60.00°, γ = 60.00°
Site moments in Bohr magnetons follow the coordinates.
Positions (direct):
Hg  0.3749  0.8752  0.3749  -0.01
Ni  0.7500  0.7500  0.7500  0.56
Hg  0.3749  0.3749  0.8752  -0.01
Hg  0.8752  0.3749  0.3749  -0.01
Hg  0.3749  0.3749  0.3749  -0.01
Ru  0.0000  0.0000  0.0000  1.60

Values from the calculation:
DOS at the Fermi energy = 8.709 states/eV/cell
Energy of formation from the pure elements = 0.93 eV/atom


20.
Computed, not measured: an optimized crystal structure of Tb2Nd8Ho3 at the PBE level of DFT.

a = 5.7352 Å, b = 7.7224 Å, c = 10.9402 Å
α = 110.67°, β = 90.02°, γ = 90.00°
Positions (direct):
Nd  0.4998  0.5994  0.7892
Ho  0.5000  0.0000  0.0000
Nd  0.5002  0.8103  0.2108
Nd  0.9997  0.1309  0.2619
Ho  0.0000  0.2852  0.0000
Nd  0.0006  0.6730  0.3459
Nd  0.5002  0.4006  0.2108
Tb  0.5007  0.7602  0.5203
Nd  0.0003  0.8691  0.7381
Ho  0.0000  0.7148  0.0000
Nd  0.4998  0.1897  0.7892
Tb  0.4993  0.2398  0.4797
Nd  0.9994  0.3270  0.6541

Values from the calculation:
DOS at the Fermi energy = 18.769 states/eV/cell
Energy of formation from the pure elements = 0.20 eV/atom


| no. | spin magnetization (μB/f.u.) |
| --- | --- |
| 1 | 2.72 |
| 2 | 0.00 |
| 3 | 0.00 |
| 4 | 4.69 |
| 5 | 0.00 |
| 6 | 3.61 |
| 7 | 0.00 |
| 8 | 0.00 |
| 9 | 0.00 |
| 10 | 0.00 |
| 11 | 0.00 |
| 12 | 7.09 |
| 13 | 0.00 |
| 14 | 0.00 |
| 15 | 0.00 |
| 16 | 1.80 |
| 17 | 0.73 |
| 18 | 7.75 |
| 19 | 2.16 |
| 20 | 0.00 |